[1]
Compound: Rb2NaBe
Source: the Alexandria database
Functional: PBEsol
Structure: optimized geometry

a = 9.302 Å, b = 9.302 Å, c = 9.302 Å
α = 95.39°, β = 95.39°, γ = 144.32°
Fractional positions:
Rb: 0.375 0.028 0.153
Rb: 0.778 0.625 0.653
Rb: 0.875 0.222 0.847
Rb: 0.972 0.125 0.347
Na: 0.250 0.750 0.500
Na: 0.500 0.500 0.000
Be: 0.000 0.000 0.000
Be: 0.750 0.250 0.500

Output
crystal system = tetragonal
ΔH_f (0 K) = 0.667 eV per atom
raw total energy = -1.195 eV/atom


[2]
Compound: GdNi2
Source: the Alexandria database
Functional: PBEsol
Structure: optimized geometry

a = 5.001 Å, b = 5.001 Å, c = 5.001 Å
α = 60.00°, β = 60.00°, γ = 60.00°
Fractional positions:
Gd: 0.125 0.125 0.125
Gd: 0.875 0.875 0.875
Ni: 0.000 0.500 0.500
Ni: 0.500 0.000 0.500
Ni: 0.500 0.500 0.000
Ni: 0.500 0.500 0.500

Output
crystal system = cubic
ΔH_f (0 K) = -0.436 eV per atom
raw total energy = -9.357 eV/atom


[3]
Compound: InHgBi2Os
Source: the Alexandria database
Functional: PBEsol
Structure: optimized geometry

a = 5.530 Å, b = 5.530 Å, c = 5.097 Å
α = 90.00°, β = 90.00°, γ = 90.00°
Fractional positions:
In: 0.000 0.000 0.000
Hg: 0.000 0.000 0.500
Bi: 0.000 0.500 0.500
Bi: 0.500 0.000 0.500
Os: 0.500 0.500 0.000

Output
crystal system = tetragonal
ΔH_f (0 K) = 1.765 eV per atom
raw total energy = -3.103 eV/atom


[4]
Compound: OsRu2W
Source: the Alexandria database
Functional: PBEsol
Structure: optimized geometry

a = 3.832 Å, b = 3.832 Å, c = 3.827 Å
α = 90.00°, β = 90.00°, γ = 90.00°
Fractional positions:
Os: 0.000 0.000 0.000
Ru: 0.000 0.500 0.500
Ru: 0.500 0.000 0.500
W: 0.500 0.500 0.000

Output
crystal system = tetragonal
ΔH_f (0 K) = -0.015 eV per atom
raw total energy = -11.607 eV/atom
polymorph energy (0 for the lowest one) = 0.000 eV per atom


[5]
Compound: MnP2SCl
Source: the Alexandria database
Functional: PBEsol
Structure: optimized geometry

a = 4.407 Å, b = 4.407 Å, c = 4.279 Å
α = 90.00°, β = 90.00°, γ = 90.00°
Fractional positions:
Mn: 0.000 0.000 0.000
P: 0.000 0.500 0.000
P: 0.500 0.000 0.000
S: 0.500 0.500 0.500
Cl: 0.000 0.000 0.500

Output
crystal system = tetragonal
raw total energy = -5.127 eV/atom
ΔE_f (raw) = 420 meV/atom


[6]
Compound: ThGeSe
Source: the Alexandria database
Functional: PBEsol
Structure: optimized geometry

a = 9.157 Å, b = 9.157 Å, c = 9.157 Å
α = 154.70°, β = 154.70°, γ = 36.09°
Fractional positions:
Th: 0.134 0.134 0.000
Th: 0.866 0.866 0.000
Ge: 0.000 0.500 0.500
Ge: 0.500 0.000 0.500
Se: 0.312 0.312 0.000
Se: 0.688 0.688 0.000

Output
crystal system = tetragonal
raw total energy = -6.950 eV/atom
ΔE_f (raw) = -1318 meV/atom


[7]
Compound: CaAl3Pd
Source: the Alexandria database
Functional: PBEsol
Structure: optimized geometry

a = 5.242 Å, b = 5.242 Å, c = 5.242 Å
α = 90.00°, β = 90.00°, γ = 90.00°
Fractional positions:
Ca: 0.000 0.000 0.000
Al: 0.000 0.000 0.500
Al: 0.000 0.500 0.000
Al: 0.500 0.000 0.000
Pd: 0.500 0.500 0.500

Output
crystal system = cubic
ΔH_f (0 K) = 1.562 eV per atom
raw total energy = -2.511 eV/atom


[8]
Compound: KPIr2
Source: the Alexandria database
Functional: PBEsol
Structure: optimized geometry

a = 4.415 Å, b = 4.415 Å, c = 4.415 Å
α = 114.90°, β = 114.90°, γ = 99.09°
Fractional positions:
K: 0.000 0.000 0.000
P: 0.750 0.250 0.500
Ir: 0.250 0.750 0.500
Ir: 0.500 0.500 0.000

Output
crystal system = tetragonal
ΔH_f (0 K) = 1.039 eV per atom
raw total energy = -5.604 eV/atom


[9]
Compound: Ge7PbN10
Source: the Alexandria database
Functional: PBEsol
Structure: optimized geometry

a = 7.247 Å, b = 7.065 Å, c = 10.250 Å
α = 90.00°, β = 105.70°, γ = 90.00°
Fractional positions:
Ge: 0.000 0.027 0.000
Ge: 0.000 0.973 0.500
Ge: 0.055 0.381 0.630
Ge: 0.055 0.619 0.130
Ge: 0.241 0.396 0.938
Ge: 0.241 0.604 0.438
Ge: 0.498 0.372 0.705
Ge: 0.498 0.628 0.205
Ge: 0.685 0.369 0.022
Ge: 0.685 0.631 0.522
Ge: 0.811 0.029 0.691
Ge: 0.811 0.971 0.191
Ge: 0.865 0.370 0.326
Ge: 0.865 0.630 0.826
Pb: 0.430 0.048 0.431
Pb: 0.430 0.952 0.931
N: 0.031 0.128 0.652
N: 0.031 0.872 0.152
N: 0.067 0.499 0.289
N: 0.067 0.501 0.789
N: 0.210 0.158 0.994
N: 0.210 0.842 0.494
N: 0.272 0.413 0.570
N: 0.272 0.587 0.070
N: 0.466 0.375 0.882
N: 0.466 0.625 0.382
N: 0.583 0.146 0.661
N: 0.583 0.854 0.161
N: 0.646 0.418 0.190
N: 0.646 0.582 0.690
N: 0.778 0.128 0.038
N: 0.778 0.872 0.538
N: 0.860 0.469 0.489
N: 0.860 0.531 0.989
N: 0.901 0.114 0.344
N: 0.901 0.886 0.844

Output
crystal system = monoclinic
raw total energy = -6.978 eV/atom
ΔE_f (raw) = -98 meV/atom


[10]
Compound: MnCuRu3
Source: the Alexandria database
Functional: PBEsol
Structure: optimized geometry

a = 4.300 Å, b = 4.300 Å, c = 4.300 Å
α = 90.00°, β = 90.00°, γ = 90.00°
Fractional positions:
Mn: 0.000 0.000 0.000
Cu: 0.500 0.500 0.500
Ru: 0.000 0.000 0.500
Ru: 0.000 0.500 0.000
Ru: 0.500 0.000 0.000

Output
crystal system = cubic
ΔH_f (0 K) = 1.514 eV per atom
raw total energy = -7.409 eV/atom


[11]
Compound: LiAlCoS2
Source: the Alexandria database
Functional: PBEsol
Structure: optimized geometry

a = 4.535 Å, b = 4.535 Å, c = 4.582 Å
α = 90.00°, β = 90.00°, γ = 90.00°
Fractional positions:
Li: 0.000 0.000 0.000
Al: 0.000 0.000 0.500
Co: 0.500 0.500 0.000
S: 0.000 0.500 0.500
S: 0.500 0.000 0.500

Output
crystal system = tetragonal
raw total energy = -3.825 eV/atom
ΔE_f (raw) = 688 meV/atom


[12]
Compound: CdHg2Pb
Source: the Alexandria database
Functional: PBEsol
Structure: optimized geometry

a = 5.167 Å, b = 5.167 Å, c = 5.167 Å
α = 60.00°, β = 60.00°, γ = 60.00°
Fractional positions:
Cd: 0.000 0.000 0.000
Hg: 0.250 0.250 0.250
Hg: 0.500 0.500 0.500
Pb: 0.750 0.750 0.750

Output
crystal system = cubic
ΔH_f (0 K) = 0.077 eV per atom
raw total energy = -1.505 eV/atom


[13]
Compound: KTcS2Cl
Source: the Alexandria database
Functional: PBEsol
Structure: optimized geometry

a = 5.099 Å, b = 5.099 Å, c = 5.277 Å
α = 90.00°, β = 90.00°, γ = 90.00°
Fractional positions:
K: 0.000 0.000 0.000
Tc: 0.500 0.500 0.500
S: 0.000 0.500 0.000
S: 0.500 0.000 0.000
Cl: 0.000 0.000 0.500

Output
crystal system = tetragonal
raw total energy = -3.195 eV/atom
ΔE_f (raw) = 1441 meV/atom